Record 1
Here is crystalline ScNiGe at its relaxed geometry from Alexandria via LeMat-Bulk. Energies are from PBE-GGA.

Unit cell a=4.723 b=4.723 c=4.723 alpha=136.48 beta=136.48 gamma=63.25
Fractional coordinates of all 3 atoms:
Sc (0.000, 0.000, 0.000)
Ni (0.347, 0.347, 0.000)
Ge (0.674, 0.674, 0.000)

Properties
- Symmetry: I4mm (107)

Record 2
Here is crystalline Sn3Hg2Pd8 at its relaxed geometry from Alexandria via LeMat-Bulk. Energies are from PBE-GGA.

Unit cell a=10.355 b=10.355 c=10.355 alpha=30.40 beta=30.40 gamma=30.40
Fractional coordinates of all 13 atoms:
Sn (0.000, 0.000, 0.000)
Sn (0.191, 0.191, 0.191)
Sn (0.809, 0.809, 0.809)
Hg (0.369, 0.369, 0.369)
Hg (0.631, 0.631, 0.631)
Pd (0.219, 0.719, 0.719)
Pd (0.278, 0.278, 0.278)
Pd (0.281, 0.281, 0.781)
Pd (0.281, 0.781, 0.281)
Pd (0.719, 0.219, 0.719)
Pd (0.719, 0.719, 0.219)
Pd (0.722, 0.722, 0.722)
Pd (0.781, 0.281, 0.281)

Properties
- Symmetry: R-3m (166)

Record 3
Here is crystalline LiPmSnPd at its relaxed geometry from Alexandria via LeMat-Bulk. Energies are from PBE-GGA.

Unit cell a=4.841 b=4.841 c=4.841 alpha=60.00 beta=60.00 gamma=60.00
Fractional coordinates of all 4 atoms:
Li (0.000, 0.000, 0.000)
Pm (0.750, 0.750, 0.750)
Sn (0.250, 0.250, 0.250)
Pd (0.500, 0.500, 0.500)

Properties
- Symmetry: F-43m (216)

Record 4
Here is crystalline Dy2Be2CdPt5 at its relaxed geometry from Alexandria via LeMat-Bulk. Energies are from PBE-GGA.

Unit cell a=9.638 b=9.638 c=3.546 alpha=90.00 beta=90.00 gamma=90.00
Fractional coordinates of all 20 atoms:
Dy (0.178, 0.322, 0.000)
Dy (0.322, 0.822, 0.000)
Dy (0.678, 0.178, 0.000)
Dy (0.822, 0.678, 0.000)
Be (0.118, 0.618, 0.000)
Be (0.382, 0.118, 0.000)
Be (0.618, 0.882, 0.000)
Be (0.882, 0.382, 0.000)
Cd (0.000, 0.000, 0.000)
Cd (0.500, 0.500, 0.000)
Pt (0.000, 0.500, 0.500)
Pt (0.068, 0.780, 0.500)
Pt (0.220, 0.068, 0.500)
Pt (0.280, 0.568, 0.500)
Pt (0.432, 0.280, 0.500)
Pt (0.500, 0.000, 0.500)
Pt (0.568, 0.720, 0.500)
Pt (0.720, 0.432, 0.500)
Pt (0.780, 0.932, 0.500)
Pt (0.932, 0.220, 0.500)

Properties
- Symmetry: P4/mbm (127)

Number 1: E_tot -5.93 eV/atom, calculated volume 16.445 A^3/atom, E_form -0.356 eV per atom. Number 2: E_tot -4.32 eV/atom, calculated volume 19.385 A^3/atom, E_form -0.155 eV per atom. Number 3: E_tot -4.75 eV/atom, calculated volume 20.058 A^3/atom, E_form -0.783 eV per atom. Number 4: E_tot -5.72 eV/atom, calculated volume 16.469 A^3/atom, E_form -0.939 eV per atom.